Material: YCoNO
Method: DFT, GGA+U
State: optimized geometry

abc: 4.748 4.748 4.372
angles: 90.00 90.00 90.00
Fractional coordinates of all 8 atoms:
Y1 0.250 0.750 0.000
Y2 0.750 0.250 0.000
Co1 0.250 0.250 0.500
Co2 0.750 0.750 0.500
N1 0.250 0.250 0.003
N2 0.750 0.750 0.997
O1 0.250 0.750 0.500
O2 0.750 0.250 0.500

Values from the calculation:
* energy relative to the lowest polymorph listed for this composition: 185 meV per atom